No. 1
The following is a DFT calculation (PBE-GGA) of crystalline LuZr2Ag at its relaxed geometry.

Calculated values
* formation energy from the elements: 9 kJ/mol of formula units
* symmetry: P4/mmm (123)
* E_tot: -24.375 eV/f.u.
* crystal system: tetragonal

Unit cell a=3.2538 b=3.2538 c=8.6314 alpha=90.00 beta=90.00 gamma=90.00
With the nearest neighbours (Å) after each atom.
Sites, in units of the cell vectors:
Lu 0.5000 0.5000 0.5000  4 Lu 3.25, 8 Zr 3.27
Ag 0.5000 0.5000 0.0000  8 Zr 3.05, 4 Ag 3.25
Zr 0.0000 0.0000 0.7689  4 Ag 3.05, 4 Zr 3.25, 4 Lu 3.27
Zr 0.0000 0.0000 0.2311  4 Ag 3.05, 4 Zr 3.25, 4 Lu 3.27


No. 2
The following is a DFT calculation (PBE-GGA) of crystalline Lu2ZrAg at its relaxed geometry.

Calculated values
* formation energy from the elements: -59 kJ/mol of formula units
* symmetry: P4/mmm (123)
* energy above the most stable polymorph in this dataset: 0.0 kJ per mole of atoms
* E_tot: -21.056 eV/f.u.
* crystal system: tetragonal

Unit cell a=3.3776 b=3.3776 c=8.4889 alpha=90.00 beta=90.00 gamma=90.00
With the nearest neighbours (Å) after each atom.
Sites, in units of the cell vectors:
Lu 0.0000 0.0000 0.7664  4 Ag 3.10, 4 Zr 3.29, 4 Lu 3.38
Lu 0.0000 0.0000 0.2336  4 Ag 3.10, 4 Zr 3.29, 4 Lu 3.38
Zr 0.5000 0.5000 0.5000  8 Lu 3.29, 4 Zr 3.38
Ag 0.5000 0.5000 0.0000  8 Lu 3.10, 4 Ag 3.38


No. 3
The following is a DFT calculation (PBE-GGA) of crystalline Mg54Ag17 at its relaxed geometry.

Calculated values
* formation energy from the elements: -896 kJ/mol of formula units
* symmetry: Immm (71)
* E_tot: -143.871 eV/f.u.
* crystal system: orthorhombic

Unit cell a=12.4280 b=12.4280 c=12.4280 alpha=72.30 beta=69.32 gamma=110.05
With the nearest neighbours (Å) after each atom.
Sites, in units of the cell vectors:
Mg 0.5223 0.3942 0.8719  2 Ag 2.72-3.01, 1 Mg 3.02
Mg 0.7340 0.6058 0.8719  2 Ag 2.72-3.01, 1 Mg 3.02
Mg 0.2660 0.3942 0.1281  2 Ag 2.72-3.01, 1 Mg 3.02
Mg 0.4777 0.6058 0.1281  2 Ag 2.72-3.01, 1 Mg 3.02
Mg 0.4333 0.1082 0.6749  2 Ag 2.63-2.91
Mg 0.2169 0.8918 0.6749  2 Ag 2.63-2.91
Mg 0.7831 0.1082 0.3251  2 Ag 2.63-2.91
Mg 0.5667 0.8918 0.3251  2 Ag 2.63-2.91
Mg 0.1820 0.2802 0.9017  4 Ag 2.79-2.82, 5 Mg 2.88-3.12
Mg 0.8180 0.7198 0.0983  4 Ag 2.79-2.82, 5 Mg 2.88-3.12
Mg 0.1820 0.0837 0.0983  4 Ag 2.79-2.82, 5 Mg 2.88-3.12
Mg 0.8180 0.9163 0.9017  4 Ag 2.79-2.82, 5 Mg 2.88-3.12
Mg 0.3209 0.7178 0.6031  2 Ag 2.68-2.97
Mg 0.6791 0.2822 0.3969  2 Ag 2.68-2.97
Mg 0.3209 0.9241 0.3969  2 Ag 2.68-2.97
Mg 0.6791 0.0759 0.6031  2 Ag 2.68-2.97
Mg 0.3887 0.1687 0.4426  2 Ag 2.72-2.93
Mg 0.1147 0.6147 0.5000  4 Ag 3.12-3.17, 11 Mg 3.25-3.30
Mg 0.8853 0.3853 0.5000  4 Ag 3.12-3.17, 11 Mg 3.25-3.30
Mg 0.6220 0.2016 0.7969  4 Ag 2.97-3.24, 8 Mg 3.08-3.30
Mg 0.0015 0.7984 0.5796  4 Ag 2.97-3.24, 8 Mg 3.08-3.30
Mg 0.9985 0.4189 0.2031  4 Ag 2.97-3.24, 8 Mg 3.08-3.30
Mg 0.3780 0.5811 0.4204  4 Ag 2.97-3.24, 8 Mg 3.08-3.30
Mg 0.3780 0.7984 0.2031  4 Ag 2.97-3.24, 8 Mg 3.08-3.30
Mg 0.9985 0.2016 0.4204  4 Ag 2.97-3.24, 8 Mg 3.08-3.30
Mg 0.0015 0.5811 0.7969  4 Ag 2.97-3.24, 8 Mg 3.08-3.30
Mg 0.6220 0.4189 0.5796  4 Ag 2.97-3.24, 8 Mg 3.08-3.30
Mg 0.6945 0.0657 0.0130  4 Ag 2.97-3.26, 9 Mg 3.08-3.30
Mg 0.9213 0.9343 0.3712  4 Ag 2.97-3.26, 9 Mg 3.08-3.30
Mg 0.0787 0.7075 0.9870  4 Ag 2.97-3.26, 9 Mg 3.08-3.30
Mg 0.3055 0.2925 0.6288  4 Ag 2.97-3.26, 9 Mg 3.08-3.30
Mg 0.3055 0.9343 0.9870  4 Ag 2.97-3.26, 9 Mg 3.08-3.30
Mg 0.0787 0.0657 0.6288  4 Ag 2.97-3.26, 9 Mg 3.08-3.30
Mg 0.9213 0.2925 0.0130  4 Ag 2.97-3.26, 9 Mg 3.08-3.30
Mg 0.6945 0.7075 0.3712  4 Ag 2.97-3.26, 9 Mg 3.08-3.30
Mg 0.5632 0.8950 0.9052  2 Ag 2.92-2.95, 7 Mg 3.07-3.26
Mg 0.1998 0.1050 0.3318  2 Ag 2.92-2.95, 7 Mg 3.07-3.26
Mg 0.8002 0.4684 0.0948  2 Ag 2.92-2.95, 7 Mg 3.07-3.26
Mg 0.4368 0.5316 0.6682  2 Ag 2.92-2.95, 7 Mg 3.07-3.26
Mg 0.4368 0.1050 0.0948  2 Ag 2.92-2.95, 7 Mg 3.07-3.26
Mg 0.8002 0.8950 0.6682  2 Ag 2.92-2.95, 7 Mg 3.07-3.26
Mg 0.1998 0.5316 0.9052  2 Ag 2.92-2.95, 7 Mg 3.07-3.26
Mg 0.5632 0.4684 0.3318  2 Ag 2.92-2.95, 7 Mg 3.07-3.26
Mg 0.8868 0.0000 0.1132  4 Ag 2.95-3.05, 5 Mg 3.20-3.28
Mg 0.1132 0.0000 0.8868  4 Ag 2.95-3.05, 5 Mg 3.20-3.28
Mg 0.5000 0.6439 0.8561  2 Ag 2.86, 6 Mg 3.16-3.17
Mg 0.5000 0.3561 0.1439  2 Ag 2.86, 6 Mg 3.16-3.17
Mg 0.8980 0.3354 0.7666  5 Ag 2.70-2.87, 1 Mg 2.88
Mg 0.8980 0.6646 0.4374  5 Ag 2.70-2.87, 1 Mg 2.88
Mg 0.1020 0.6646 0.2334  5 Ag 2.70-2.87, 1 Mg 2.88
Mg 0.1020 0.3354 0.5626  5 Ag 2.70-2.87, 1 Mg 2.88
Mg 0.6113 0.1687 0.2199  2 Ag 2.72-2.93
Mg 0.6113 0.8313 0.5574  2 Ag 2.72-2.93
Mg 0.3887 0.8313 0.7801  2 Ag 2.72-2.93
Ag 0.3753 0.2074 0.8321  4 Mg 2.63-2.80
Ag 0.9605 0.7926 0.8321  4 Mg 2.63-2.80
Ag 0.0395 0.2074 0.1679  4 Mg 2.63-2.80
Ag 0.6247 0.7926 0.1679  4 Mg 2.63-2.80
Ag 0.1678 0.4581 0.7097  6 Mg 2.68-2.95, 1 Ag 2.98
Ag 0.8322 0.5419 0.2903  6 Mg 2.68-2.95, 1 Ag 2.98
Ag 0.1678 0.8775 0.2903  6 Mg 2.68-2.95, 1 Ag 2.98
Ag 0.8322 0.1225 0.7097  6 Mg 2.68-2.95, 1 Ag 2.98
Ag 0.2992 0.3329 0.3679  5 Mg 2.72-2.92, 1 Ag 2.91
Ag 0.2992 0.6671 0.0336  5 Mg 2.72-2.92, 1 Ag 2.91
Ag 0.7008 0.6671 0.6321  5 Mg 2.72-2.92, 1 Ag 2.91
Ag 0.7008 0.3329 0.9664  5 Mg 2.72-2.92, 1 Ag 2.91
Ag 0.0000 0.8311 0.1689  6 Mg 2.79-2.95, 2 Ag 2.98
Ag 0.0000 0.1689 0.8311  6 Mg 2.79-2.95, 2 Ag 2.98
Ag 0.1878 0.5000 0.3122  4 Mg 2.70-3.01, 2 Ag 2.91
Ag 0.8122 0.5000 0.6878  4 Mg 2.70-3.01, 2 Ag 2.91
Ag 0.5000 0.0000 0.5000  12 Mg 2.91-2.97